1.
The following is a meta-GGA SCAN calculation of Tl2Mo7O22 at its PBEsol-relaxed geometry, from Alexandria via LeMat-Bulk.

The structure in POSCAR format:
```
Tl2Mo7O22
1.0
10.5777 -2.7308 0.0000
10.5777 2.7308 0.0000
-10.3732 0.0000 16.0835
Tl Mo O
4 14 44
Cartesian
-0.9637 1.4002 13.4497
6.5594 1.4002 10.6756
4.2229 -1.4002 5.4079
11.7460 -1.4002 2.6338
1.6976 1.0044 7.6352
2.7978 2.0254 12.0626
5.6719 0.8022 2.2393
8.8311 1.4818 1.4870
7.1378 1.4818 6.5548
0.4853 -0.8022 10.2811
-3.4890 -1.0044 15.6769
14.2713 1.0044 0.4066
10.2970 0.8022 5.8025
3.6444 -1.4818 9.5287
1.9512 -1.4818 14.5966
5.1104 -0.8022 13.8442
7.9844 -2.0254 4.0209
9.0847 -1.0044 8.4484
1.5180 2.5472 13.4104
-2.1963 0.4688 7.5176
4.0776 2.5472 10.7148
-4.6680 0.6808 14.7455
7.1232 1.7149 2.9033
-0.0097 0.7389 9.1420
9.7180 1.6886 0.0466
2.7793 0.8406 6.3348
-7.3829 -0.4688 15.5594
4.6020 0.5610 3.5387
6.2509 1.6886 7.9952
1.7335 0.9678 11.2139
8.8457 1.7149 5.1385
7.3157 0.4710 0.7510
0.5186 -0.6808 6.7037
3.8622 0.9678 12.9114
5.1769 -0.7389 1.1003
-0.5846 -0.5610 11.5804
6.3012 0.2120 5.7981
2.1291 -0.4710 8.7927
-2.4073 -0.8406 14.3766
9.6676 0.2120 2.2436
1.1146 -0.2120 13.8399
13.1896 0.8406 1.7069
8.6532 0.4710 7.2908
4.4810 -0.2120 10.2854
11.3669 0.5610 4.5031
5.6054 0.7389 14.9832
6.9201 -0.9678 3.1721
10.2637 0.6808 9.3798
3.4665 -0.4710 15.3326
1.9366 -1.7149 10.9451
9.0488 -0.9678 4.8696
4.5314 -1.6886 8.0884
6.1803 -0.5610 12.5449
18.1652 0.4688 0.5241
8.0030 -0.8406 9.7487
1.0643 -1.6886 16.0369
10.7920 -0.7389 6.9415
3.6591 -1.7149 13.1802
15.4503 -0.6808 1.3381
6.7046 -2.5472 5.3687
12.9786 -0.4688 8.5659
9.2643 -2.5472 2.6731
```

Results
Calculated volume = 929.16 Å³ per cell
Formation energy without anion corrections = -1995 meV/atom
Density of states at the Fermi level = 0.00 states/eV/cell
Total energy = -1175.69 eV for the cell shown
Space group = C2/c

=====

2.
The following is a meta-GGA SCAN calculation of Tl2Mo2O at its PBEsol-relaxed geometry, from Alexandria via LeMat-Bulk.

The structure in POSCAR format:
```
Tl2Mo2O
1.0
-1.7327 1.7327 7.8325
1.7327 -1.7327 7.8325
1.7327 1.7327 -7.8325
Tl Mo O
2 2 1
Cartesian
0.0000 0.0000 1.3831
0.0000 0.0000 14.2820
1.7327 0.0000 3.9163
0.0000 1.7327 3.9163
0.0000 0.0000 7.8325
```

Results
Calculated volume = 94.06 Å³ per cell
Formation energy without anion corrections = 693 meV/atom
Density of states at the Fermi level = 4.91 states/eV/cell
Total energy = -217.26 eV for the cell shown
Space group = I4/mmm

=====

3.
The following is a meta-GGA SCAN calculation of TlMoO3 at its PBEsol-relaxed geometry, from Alexandria via LeMat-Bulk.

The structure in POSCAR format:
```
TlMoO3
1.0
3.9590 0.0000 0.0000
0.0000 3.9590 0.0000
0.0000 0.0000 3.9590
Tl Mo O
1 1 3
Cartesian
0.0000 0.0000 0.0000
1.9795 1.9795 1.9795
0.0000 1.9795 1.9795
1.9795 0.0000 1.9795
1.9795 1.9795 0.0000
```

Results
Calculated volume = 62.05 Å³ per cell
Formation energy without anion corrections = -1655 meV/atom
Density of states at the Fermi level = 0.84 states/eV/cell
Total energy = -134.21 eV for the cell shown
Space group = Pm-3m

=====

4.
The following is a meta-GGA SCAN calculation of TlMoO3 at its PBEsol-relaxed geometry, from Alexandria via LeMat-Bulk.

The structure in POSCAR format:
```
TlMoO3
1.0
4.1736 0.0000 0.0000
0.0000 4.1736 0.0000
0.0000 0.0000 4.1736
Tl Mo O
1 1 3
Cartesian
0.0000 0.0000 0.0000
2.0868 2.0868 2.0868
0.0000 0.0000 2.0868
0.0000 2.0868 0.0000
2.0868 0.0000 0.0000
```

Results
Calculated volume = 72.70 Å³ per cell
Formation energy without anion corrections = 415 meV/atom
Density of states at the Fermi level = 3.89 states/eV/cell
Total energy = -123.86 eV for the cell shown
Space group = Pm-3m

=====

5.
The following is a meta-GGA SCAN calculation of TlMo3O9 at its PBEsol-relaxed geometry, from Alexandria via LeMat-Bulk.

The structure in POSCAR format:
```
TlMo3O9
1.0
7.3787 -3.8439 0.0000
7.3787 3.8439 0.0000
-0.3387 0.0000 6.3867
Tl Mo O
2 6 18
Cartesian
2.7873 0.0000 2.1018
11.6314 0.0000 4.2849
6.4563 2.0026 1.4808
7.9624 2.0026 4.9058
5.3358 0.0000 5.4968
9.0829 0.0000 0.8899
6.4563 -2.0026 1.4808
7.9624 -2.0026 4.9058
0.3148 0.0000 5.0672
4.8164 1.9726 1.8543
5.8805 1.8280 5.8160
7.2094 1.9914 3.1933
3.8117 0.0000 6.2649
8.5382 1.8280 0.5707
4.9952 0.0000 3.8322
9.6024 1.9726 4.5323
6.7726 0.0000 1.2226
7.6462 0.0000 5.1641
4.8164 -1.9726 1.8543
9.4236 0.0000 2.5544
5.8805 -1.8280 5.8160
10.6070 0.0000 0.1218
7.2094 -1.9914 3.1933
8.5382 -1.8280 0.5707
9.6024 -1.9726 4.5323
14.1040 0.0000 1.3195
```

Results
Calculated volume = 362.29 Å³ per cell
Formation energy without anion corrections = -1991 meV/atom
Total energy = -517.94 eV for the cell shown
Space group = C2/m

=====

6.
The following is a meta-GGA SCAN calculation of Tl3MoO at its PBEsol-relaxed geometry, from Alexandria via LeMat-Bulk.

The structure in POSCAR format:
```
Tl3MoO
1.0
4.7624 0.0000 0.0000
0.0000 4.7624 0.0000
0.0000 0.0000 4.7624
Tl Mo O
3 1 1
Cartesian
0.0000 0.0000 2.3812
0.0000 2.3812 0.0000
2.3812 0.0000 0.0000
2.3812 2.3812 2.3812
0.0000 0.0000 0.0000
```

Results
Calculated volume = 108.02 Å³ per cell
Formation energy without anion corrections = 648 meV/atom
Density of states at the Fermi level = 2.43 states/eV/cell
Total energy = -254.95 eV for the cell shown
Space group = Pm-3m